1.
# InNiAs2

A geometry-optimized InNiAs2 structure (PBE-GGA, Alexandria).

Results
Symmetry   Imm2 (44)
DOS(E_F)   2.14 states/eV/cell
Calculated formation energy   0.042 eV/atom

```
data_InNiAs2
_chemical_formula_sum 'In1 Ni1 As2'
_symmetry_space_group_name_H-M 'P 1'
_symmetry_Int_Tables_number 1
_cell_length_a 6.7386
_cell_length_b 6.7386
_cell_length_c 6.7386
_cell_angle_alpha 150.35
_cell_angle_beta 148.39
_cell_angle_gamma 43.89
loop_
_symmetry_equiv_pos_as_xyz
'x,y,z'
loop_
_atom_site_label
_atom_site_type_symbol
_atom_site_fract_x
_atom_site_fract_y
_atom_site_fract_z
In1 In 0.0000 0.0000 0.0000
Ni1 Ni 0.7841 0.2841 0.5000
As1 As 0.3136 0.8136 0.5000
As2 As 0.6492 0.6492 0.0000
```

2.
# Tb8Ho6In

A geometry-optimized Tb8Ho6In structure (PBE-GGA, Alexandria).

Results
Symmetry   P-3 (147)
DOS(E_F)   18.03 states/eV/cell
Calculated formation energy   0.086 eV/atom

```
data_Tb8Ho6In
_chemical_formula_sum 'Tb8 Ho6 In1'
_symmetry_space_group_name_H-M 'P 1'
_symmetry_Int_Tables_number 1
_cell_length_a 9.3061
_cell_length_b 9.3061
_cell_length_c 6.3447
_cell_angle_alpha 90.00
_cell_angle_beta 90.00
_cell_angle_gamma 120.00
loop_
_symmetry_equiv_pos_as_xyz
'x,y,z'
loop_
_atom_site_label
_atom_site_type_symbol
_atom_site_fract_x
_atom_site_fract_y
_atom_site_fract_z
Tb1 Tb 0.0401 0.7716 0.1845
Tb2 Tb 0.2284 0.2685 0.1845
Tb3 Tb 0.2685 0.0401 0.8155
Tb4 Tb 0.3333 0.6667 0.1799
Tb5 Tb 0.6667 0.3333 0.8201
Tb6 Tb 0.7315 0.9599 0.1845
Tb7 Tb 0.7716 0.7315 0.8155
Tb8 Tb 0.9599 0.2284 0.8155
Ho1 Ho 0.0942 0.6431 0.6773
Ho2 Ho 0.3569 0.4511 0.6773
Ho3 Ho 0.4511 0.0942 0.3227
Ho4 Ho 0.5489 0.9058 0.6773
Ho5 Ho 0.6431 0.5489 0.3227
Ho6 Ho 0.9058 0.3569 0.3227
In1 In 0.0000 0.0000 0.5000
```